Below is NbAg3Pb after structural relaxation, with properties calculated at the PBE level.

Calculated values
**Symmetry**: No. 221
**Polymorph energy (0 for the lowest one)**: 0.00 eV per formula unit
**Energy relative to the elements**: 6.0 eV/f.u.

abc: 5.2143 5.2143 5.2143
angles: 90.00 90.00 90.00
With the nearest neighbours (Å) after each atom.
Fractional coordinates of all 5 atoms:
Nb (0.0000, 0.0000, 0.0000)  6 Ag 2.61
Ag (0.0000, 0.0000, 0.5000)  2 Nb 2.61
Ag (0.0000, 0.5000, 0.0000)  2 Nb 2.61
Ag (0.5000, 0.0000, 0.0000)  2 Nb 2.61
Pb (0.5000, 0.5000, 0.5000)  12 Ag 3.69



Below is RbCd2Bi after structural relaxation, with properties calculated at the PBE level.

Calculated values
**Symmetry**: No. 129
**Energy relative to the elements**: -0.6 eV/f.u.

abc: 4.9248 4.9248 12.0612
angles: 90.00 90.00 90.00
With the nearest neighbours (Å) after each atom.
Fractional coordinates of all 8 atoms:
Rb (0.2500, 0.2500, 0.2396)  5 Cd 3.61-3.99, 4 Bi 3.72
Rb (0.7500, 0.7500, 0.7604)  5 Cd 3.61-3.99, 4 Bi 3.72
Cd (0.2500, 0.2500, 0.9403)  1 Bi 3.47, 1 Rb 3.61, 4 Cd 3.77
Cd (0.2500, 0.7500, 0.5000)  4 Bi 3.07
Cd (0.7500, 0.2500, 0.5000)  4 Bi 3.07
Cd (0.7500, 0.7500, 0.0597)  1 Bi 3.47, 1 Rb 3.61, 4 Cd 3.77
Bi (0.2500, 0.2500, 0.6524)  4 Cd 3.07
Bi (0.7500, 0.7500, 0.3476)  4 Cd 3.07



Below is SmDy2PuAs4 after structural relaxation, with properties calculated at the PBE level.

Calculated values
**Symmetry**: No. 10
**Energy relative to the elements**: -11.2 eV/f.u.

abc: 7.1720 4.1530 7.1781
angles: 90.00 109.47 90.00
With the nearest neighbours (Å) after each atom.
Fractional coordinates of all 8 atoms:
Sm (0.0000, 0.0000, 0.0000)  6 As 2.95-2.96
Dy (0.5000, 0.0000, 0.5000)  6 As 2.91
Dy (0.5000, 0.5000, 0.0000)  6 As 2.94
Pu (0.0000, 0.5000, 0.5000)  6 As 2.92-2.93
As (0.2509, 0.0000, 0.7468)  3 Dy 2.91-2.94, 2 Pu 2.93, 1 Sm 2.95
As (0.2535, 0.5000, 0.2546)  3 Dy 2.91-2.94, 1 Pu 2.92, 2 Sm 2.96
As (0.7465, 0.5000, 0.7454)  3 Dy 2.91-2.94, 1 Pu 2.92, 2 Sm 2.96
As (0.7491, 0.0000, 0.2532)  3 Dy 2.91-2.94, 2 Pu 2.93, 1 Sm 2.95



Below is NdCdCuIr after structural relaxation, with properties calculated at the PBE level.

Calculated values
**Symmetry**: No. 216
**Energy relative to the elements**: -0.7 eV/f.u.

abc: 4.8335 4.8335 4.8335
angles: 60.00 60.00 60.00
With the nearest neighbours (Å) after each atom.
Fractional coordinates of all 4 atoms:
Nd (0.0000, 0.0000, 0.0000)  4 Cu 2.96, 4 Ir 2.96
Cd (0.5000, 0.5000, 0.5000)  4 Cu 2.96, 4 Ir 2.96
Cu (0.7500, 0.7500, 0.7500)  4 Cd 2.96, 4 Nd 2.96
Ir (0.2500, 0.2500, 0.2500)  4 Cd 2.96, 4 Nd 2.96



- What is the energy relative to the elements in the fourth record?
  -0.7 eV/f.u.



- What is the energy relative to the elements in the first record?
  6.0 eV/f.u.